# AgSb2TeCl

A relaxed structure of AgSb2TeCl (PBE, the Alexandria database). Values from VASP.

Properties
- total DFT energy (no corrections) (Ha/atom) = -0.08741
- E_form (uncorrected) (meV/atom) = 838

Cell and atoms, written as Quantum ESPRESSO input:
```
&SYSTEM
  ibrav = 0, nat = 5, ntyp = 4
/
ATOMIC_SPECIES
Ag 107.87 Ag.upf
Sb 121.76 Sb.upf
Cl 35.45 Cl.upf
Te 127.60 Te.upf
CELL_PARAMETERS angstrom
5.266 0.000 0.000
0.000 5.266 0.000
0.000 0.000 5.653
ATOMIC_POSITIONS angstrom
Ag 2.633 2.633 2.827
Sb 0.000 2.633 0.000
Cl 0.000 0.000 0.000
Sb 2.633 0.000 0.000
Te 0.000 0.000 2.827
```

---

# ZrTl3Cr2Te6

A relaxed structure of ZrTl3Cr2Te6 (PBE, the Alexandria database). Values from VASP.

Properties
- total DFT energy (no corrections) (Ha/atom) = -0.17827
- E_form (uncorrected) (meV/atom) = -372

Cell and atoms, written as Quantum ESPRESSO input:
```
&SYSTEM
  ibrav = 0, nat = 12, ntyp = 4
/
ATOMIC_SPECIES
Te 127.60 Te.upf
Cr 52.00 Cr.upf
Zr 91.22 Zr.upf
Tl 204.38 Tl.upf
CELL_PARAMETERS angstrom
-6.052 3.563 -0.595
0.773 -6.197 -3.267
2.292 -1.311 10.644
ATOMIC_POSITIONS angstrom
Te -0.313 -4.438 5.707
Te -0.298 -2.905 0.145
Cr -3.777 0.310 -1.485
Zr 0.000 0.000 0.000
Tl 0.780 -5.224 2.501
Te -2.688 -1.040 6.637
Te 1.021 -1.480 8.016
Cr -1.502 -2.944 -2.376
Te -4.008 -2.465 -1.234
Tl -3.767 1.278 4.281
Tl -1.493 -1.973 3.391
Te -2.674 0.492 1.075
```

---

# ReAsS

A relaxed structure of ReAsS (PBE, the Alexandria database). Values from VASP.

Properties
- total DFT energy (no corrections) (Ha/atom) = -0.25682
- E_form (uncorrected) (meV/atom) = 87

Cell and atoms, written as Quantum ESPRESSO input:
```
&SYSTEM
  ibrav = 0, nat = 18, ntyp = 3
/
ATOMIC_SPECIES
Re 186.21 Re.upf
As 74.92 As.upf
S 32.06 S.upf
CELL_PARAMETERS angstrom
-4.374 -1.795 2.974
-3.682 -6.266 -3.951
2.438 -6.002 5.207
ATOMIC_POSITIONS angstrom
Re -3.516 -4.658 2.602
As -3.425 -5.950 4.746
S -5.462 -5.733 1.797
Re -1.520 -3.401 1.197
S -0.872 -1.327 0.291
Re -6.140 -7.998 1.783
S -1.999 -5.746 1.218
S -3.888 -8.444 2.547
Re 1.214 -6.104 3.442
As -1.398 -9.273 5.462
S -5.010 -12.861 3.471
As -2.269 -8.507 -0.605
As -5.847 -8.891 -0.465
As -4.081 -5.094 -1.469
Re -4.060 -10.760 3.177
As -0.278 -7.729 2.407
Re -1.942 -9.453 1.689
S -3.750 -10.909 0.838
```

---

# Sr5SiCl5

A relaxed structure of Sr5SiCl5 (PBE, the Alexandria database). Values from VASP.

Properties
- total DFT energy (no corrections) (Ha/atom) = -0.14097
- E_form (uncorrected) (meV/atom) = -1739

Cell and atoms, written as Quantum ESPRESSO input:
```
&SYSTEM
  ibrav = 0, nat = 11, ntyp = 3
/
ATOMIC_SPECIES
Si 28.09 Si.upf
Sr 87.62 Sr.upf
Cl 35.45 Cl.upf
CELL_PARAMETERS angstrom
6.113 0.000 0.000
-3.057 6.661 -2.275
0.000 0.086 8.790
ATOMIC_POSITIONS angstrom
Si 0.000 0.000 0.000
Sr 3.057 4.603 -0.114
Cl 3.057 2.514 2.162
Sr 0.000 2.097 2.120
Sr 0.000 2.144 6.629
Cl 0.000 0.043 4.395
Cl 0.000 4.233 4.354
Sr 3.057 4.650 4.396
Cl 3.057 2.425 6.561
Cl 0.000 4.321 -0.045
Sr 3.057 0.000 0.000
```

---

# CsICl4

A relaxed structure of CsICl4 (PBE, the Alexandria database). Values from VASP.

Properties
- total DFT energy (no corrections) (Ha/atom) = -0.09219
- E_form (uncorrected) (meV/atom) = -877

Cell and atoms, written as Quantum ESPRESSO input:
```
&SYSTEM
  ibrav = 0, nat = 12, ntyp = 3
/
ATOMIC_SPECIES
Cl 35.45 Cl.upf
Cs 132.91 Cs.upf
I 126.90 I.upf
CELL_PARAMETERS angstrom
-1.330 -6.199 -0.598
5.862 -4.532 -0.017
1.741 -1.428 10.965
ATOMIC_POSITIONS angstrom
Cl 2.296 -7.617 3.347
Cl 0.516 -1.845 0.640
Cl 3.276 -7.843 8.872
Cl 5.535 -6.572 4.520
Cl 5.756 -10.314 9.711
Cs 5.280 -9.613 2.270
Cs 0.993 -2.546 8.080
Cl 3.977 -4.542 7.004
I 3.136 -6.080 5.175
Cl 2.997 -4.316 1.478
Cl 0.738 -5.587 5.830
I 2.931 -2.266 -0.008
```

---

# ErAg2SnS4

A relaxed structure of ErAg2SnS4 (PBE, the Alexandria database). Values from VASP.

Properties
- total DFT energy (no corrections) (Ha/atom) = -0.16930
- E_form (uncorrected) (meV/atom) = -760

Cell and atoms, written as Quantum ESPRESSO input:
```
&SYSTEM
  ibrav = 0, nat = 8, ntyp = 4
/
ATOMIC_SPECIES
S 32.06 S.upf
Ag 107.87 Ag.upf
Sn 118.71 Sn.upf
Er 167.26 Er.upf
CELL_PARAMETERS angstrom
-0.260 -3.747 -1.198
5.643 0.841 -3.855
1.670 -2.057 6.070
ATOMIC_POSITIONS angstrom
S 5.344 -2.790 1.080
S 4.614 0.134 -1.419
Ag 0.705 -2.902 2.436
Sn 0.000 0.000 0.000
S 1.709 -2.172 -0.063
Ag 3.657 -0.608 1.107
S 2.700 -1.349 3.634
Er 2.692 -1.453 -2.527
```

---

# Zr2AlB

A relaxed structure of Zr2AlB (PBE, the Alexandria database). Values from VASP.

Properties
- total DFT energy (no corrections) (Ha/atom) = -0.26637
- formation energy (eV/atom) = -0.3691

Cell and atoms, written as Quantum ESPRESSO input:
```
&SYSTEM
  ibrav = 0, nat = 4, ntyp = 3
/
ATOMIC_SPECIES
B 10.81 B.upf
Al 26.98 Al.upf
Zr 91.22 Zr.upf
CELL_PARAMETERS angstrom
-0.451 -2.389 -2.416
-0.412 -3.283 0.892
-7.425 -0.900 -0.156
ATOMIC_POSITIONS angstrom
B 0.000 0.000 0.000
Al -4.144 -3.286 -0.840
Zr -1.611 -1.707 -0.443
Zr -6.677 -4.865 -1.238
```

---

# KTl5Hg8

A relaxed structure of KTl5Hg8 (PBE, the Alexandria database). Values from VASP.

Properties
- total DFT energy (no corrections) (Ha/atom) = -0.04195
- formation energy (eV/atom) = -0.0455

Cell and atoms, written as Quantum ESPRESSO input:
```
&SYSTEM
  ibrav = 0, nat = 14, ntyp = 3
/
ATOMIC_SPECIES
Hg 200.59 Hg.upf
Tl 204.38 Tl.upf
K 39.10 K.upf
CELL_PARAMETERS angstrom
0.045 -5.531 -6.114
1.616 -3.695 7.192
-7.417 3.556 0.565
ATOMIC_POSITIONS angstrom
Hg -3.318 -3.380 4.536
Tl -4.389 -3.262 1.468
Hg -5.828 0.494 5.203
Hg -0.706 -4.010 -4.103
Hg -5.049 -0.118 1.242
Hg -3.288 -6.244 0.932
Tl -2.901 -0.069 3.878
Hg 0.280 -5.529 -0.919
Hg -3.425 -2.314 -1.574
Tl -0.905 -2.718 6.564
K -0.620 -4.648 2.478
Tl -6.041 -2.980 -3.331
Tl -0.178 -2.380 -1.416
Hg -1.691 -1.580 1.253
```

---

# PbW

A relaxed structure of PbW (PBE, the Alexandria database). Values from VASP.

Properties
- total DFT energy (no corrections) (Ha/atom) = -0.28799
- formation energy (eV/atom) = 0.4942

Cell and atoms, written as Quantum ESPRESSO input:
```
&SYSTEM
  ibrav = 0, nat = 4, ntyp = 2
/
ATOMIC_SPECIES
Pb 207.20 Pb.upf
W 183.84 W.upf
CELL_PARAMETERS angstrom
3.298 0.000 0.000
0.000 3.279 -0.159
0.000 2.001 8.691
ATOMIC_POSITIONS angstrom
Pb 0.000 2.667 0.446
W 1.649 1.130 2.605
Pb 1.649 4.573 5.794
W 0.000 2.831 3.794
```

---

# SrSc2Os

A relaxed structure of SrSc2Os (PBE, the Alexandria database). Values from VASP.

Properties
- total DFT energy (no corrections) (Ha/atom) = -0.22668
- formation energy (eV/atom) = 0.2254

Cell and atoms, written as Quantum ESPRESSO input:
```
&SYSTEM
  ibrav = 0, nat = 4, ntyp = 3
/
ATOMIC_SPECIES
Sr 87.62 Sr.upf
Sc 44.96 Sc.upf
Os 190.23 Os.upf
CELL_PARAMETERS angstrom
-4.828 -0.962 -0.555
-2.996 3.416 -1.974
-1.886 -0.679 -4.531
ATOMIC_POSITIONS angstrom
Sr 0.000 0.000 0.000
Sc -2.427 0.444 -1.765
Os -4.855 0.887 -3.530
Sc -7.282 1.331 -5.295
```

---

# Mg2FeBi

A relaxed structure of Mg2FeBi (PBE, the Alexandria database). Values from VASP.

Properties
- total DFT energy (no corrections) (Ha/atom) = -0.12047
- formation energy (eV/atom) = 0.6052

Cell and atoms, written as Quantum ESPRESSO input:
```
&SYSTEM
  ibrav = 0, nat = 8, ntyp = 3
/
ATOMIC_SPECIES
Fe 55.84 Fe.upf
Mg 24.30 Mg.upf
Bi 208.98 Bi.upf
CELL_PARAMETERS angstrom
-2.313 0.025 -3.393
-1.544 -3.664 1.025
-9.302 2.705 3.877
ATOMIC_POSITIONS angstrom
Fe -6.387 -1.389 1.859
Mg -3.903 0.233 -0.934
Mg -10.311 -1.059 0.809
Bi 0.000 0.000 0.000
Mg -3.640 -1.610 1.097
Mg -8.463 0.568 2.047
Bi -6.772 0.456 -0.350
Fe -1.928 -1.819 -1.184
```

---

# KIrAu2

A relaxed structure of KIrAu2 (PBE, the Alexandria database). Values from VASP.

Properties
- total DFT energy (no corrections) (Ha/atom) = -0.13481
- formation energy (eV/atom) = 0.4600

Cell and atoms, written as Quantum ESPRESSO input:
```
&SYSTEM
  ibrav = 0, nat = 8, ntyp = 3
/
ATOMIC_SPECIES
Ir 192.22 Ir.upf
Au 196.97 Au.upf
K 39.10 K.upf
CELL_PARAMETERS angstrom
-4.842 -1.211 -1.911
1.889 -4.647 -1.843
-3.525 -6.791 5.760
ATOMIC_POSITIONS angstrom
Ir 0.000 0.000 0.000
Au -4.883 -3.338 -0.462
Au -6.644 -6.734 2.418
Au -3.936 -5.661 -1.384
Au -4.223 -6.127 3.374
Ir -4.922 -5.465 0.986
K -1.556 -7.184 1.020
K -1.477 -2.929 -1.877
```

---

The lowest total DFT energy (no corrections) belongs to which entry? PbW

---

Which formula does entry 10 have? SrSc2Os